Entry from Alexandria: a crystal of ZrFe2Ag relaxed with PBEsol (meta-GGA SCAN).

The formation energy comes out at 0.18 eV per atom. As for the uncorrected energy: -97.62 eV per formula unit.

Cell: 6.2263 6.2263 6.2263 Å, 90.00 90.00 90.00°
Closest atoms and distances in Å follow each position.
Space group F-43m (No. 216)
Unique sites:
Zr: 0.0000 0.0000 0.0000  4 Fe 2.70, 4 Ag 2.70
Fe: 0.0000 0.0000 0.5000  4 Ag 2.70, 4 Fe 2.70
Fe: 0.2500 0.2500 0.2500  4 Fe 2.70, 4 Zr 2.70
Ag: 0.2500 0.2500 0.7500  4 Zr 2.70, 4 Fe 2.70